DFT (PBE) results for a relaxed structure of LaLuPt2.

For the relative energy among the computed polymorphs, the calculation gives 0 meV per atom. For the formation energy, the calculation gives -1180 meV/atom.

Geometry as CIF:
```
data_LaLuPt2
_symmetry_space_group_name_H-M 'P 4/m m m'
_symmetry_Int_Tables_number 123
_symmetry_space_group_name_Hall '-P 4 2'
_cell_length_a 3.497
_cell_length_b 3.497
_cell_length_c 7.242
_cell_angle_alpha 90.00
_cell_angle_beta 90.00
_cell_angle_gamma 90.00
loop_
_atom_site_label
_atom_site_type_symbol
_atom_site_fract_x
_atom_site_fract_y
_atom_site_fract_z
La1 La 0.000 0.000 0.000
Lu1 Lu 0.000 0.000 0.500
Pt1 Pt 0.500 0.500 0.280
```

DFT (PBE) results for a relaxed structure of Rb2BeBr6N.

For the raw formation energy, the calculation gives -0.419 eV per atom.

Geometry as CIF:
```
data_Rb2BeBr6N
_symmetry_space_group_name_H-M 'I 4/m m m'
_symmetry_Int_Tables_number 139
_symmetry_space_group_name_Hall '-I 4 2'
_cell_length_a 8.053
_cell_length_b 8.053
_cell_length_c 10.016
_cell_angle_alpha 90.00
_cell_angle_beta 90.00
_cell_angle_gamma 90.00
loop_
_atom_site_label
_atom_site_type_symbol
_atom_site_fract_x
_atom_site_fract_y
_atom_site_fract_z
Rb1 Rb 0.000 0.500 0.250
Be1 Be 0.000 0.000 0.000
Br1 Br 0.000 0.000 0.299
Br2 Br 0.204 0.204 0.000
N1 N 0.000 0.000 0.500
```

DFT (PBE) results for a relaxed structure of LaPm2Sb3.

For the raw formation energy, the calculation gives -1.214 eV per atom.

Geometry as CIF:
```
data_LaPm2Sb3
_symmetry_space_group_name_H-M 'I m m m'
_symmetry_Int_Tables_number 71
_symmetry_space_group_name_Hall '-I 2 2'
_cell_length_a 4.543
_cell_length_b 6.418
_cell_length_c 13.608
_cell_angle_alpha 90.00
_cell_angle_beta 90.00
_cell_angle_gamma 90.00
loop_
_atom_site_label
_atom_site_type_symbol
_atom_site_fract_x
_atom_site_fract_y
_atom_site_fract_z
La1 La 0.000 0.000 0.000
Pm1 Pm 0.000 0.000 0.334
Sb1 Sb 0.000 0.500 0.000
Sb2 Sb 0.000 0.500 0.330
```

DFT (PBE) results for a relaxed structure of Cd2InBiH.

Its total energy is -10.303 eV per formula unit.

Geometry as CIF:
```
data_Cd2InBiH
_symmetry_space_group_name_H-M 'P 4/m m m'
_symmetry_Int_Tables_number 123
_symmetry_space_group_name_Hall '-P 4 2'
_cell_length_a 5.724
_cell_length_b 5.724
_cell_length_c 3.743
_cell_angle_alpha 90.00
_cell_angle_beta 90.00
_cell_angle_gamma 90.00
loop_
_atom_site_label
_atom_site_type_symbol
_atom_site_fract_x
_atom_site_fract_y
_atom_site_fract_z
Cd1 Cd 0.000 0.500 0.000
In1 In 0.000 0.000 0.000
Bi1 Bi 0.500 0.500 0.500
H1 H 0.000 0.000 0.500
```

DFT (PBE) results for a relaxed structure of CsKLa3.

For the relative energy among the computed polymorphs, the calculation gives 0 meV per atom. For the formation energy, the calculation gives 905 meV/atom.

Geometry as CIF:
```
data_CsKLa3
_symmetry_space_group_name_H-M 'P m -3 m'
_symmetry_Int_Tables_number 221
_symmetry_space_group_name_Hall '-P 4 2 3'
_cell_length_a 6.158
_cell_length_b 6.158
_cell_length_c 6.158
_cell_angle_alpha 90.00
_cell_angle_beta 90.00
_cell_angle_gamma 90.00
loop_
_atom_site_label
_atom_site_type_symbol
_atom_site_fract_x
_atom_site_fract_y
_atom_site_fract_z
Cs1 Cs 0.000 0.000 0.000
K1 K 0.500 0.500 0.500
La1 La 0.000 0.000 0.500
```

DFT (PBE) results for a relaxed structure of USb2Pd.

For the raw formation energy, the calculation gives -0.250 eV per atom. For the relative energy among the computed polymorphs, the calculation gives 186 meV per atom.

Geometry as CIF:
```
data_USb2Pd
_symmetry_space_group_name_H-M 'C m c m'
_symmetry_Int_Tables_number 63
_symmetry_space_group_name_Hall '-C 2c 2'
_cell_length_a 6.768
_cell_length_b 10.458
_cell_length_c 5.164
_cell_angle_alpha 90.00
_cell_angle_beta 90.00
_cell_angle_gamma 90.00
loop_
_atom_site_label
_atom_site_type_symbol
_atom_site_fract_x
_atom_site_fract_y
_atom_site_fract_z
U1 U 0.000 0.145 0.250
Sb1 Sb 0.237 0.395 0.250
Pd1 Pd 0.000 0.320 0.750
```

DFT (PBE) results for a relaxed structure of YZrZn3.

For the relative energy among the computed polymorphs, the calculation gives 0 meV per atom. For the formation energy, the calculation gives -304 meV/atom.

Geometry as CIF:
```
data_YZrZn3
_symmetry_space_group_name_H-M 'C m c m'
_symmetry_Int_Tables_number 63
_symmetry_space_group_name_Hall '-C 2c 2'
_cell_length_a 3.458
_cell_length_b 26.441
_cell_length_c 4.336
_cell_angle_alpha 90.00
_cell_angle_beta 90.00
_cell_angle_gamma 90.00
loop_
_atom_site_label
_atom_site_type_symbol
_atom_site_fract_x
_atom_site_fract_y
_atom_site_fract_z
Y1 Y 0.000 0.075 0.250
Zr1 Zr 0.000 0.215 0.750
Zn1 Zn 0.000 0.323 0.750
Zn2 Zn 0.000 0.377 0.250
Zn3 Zn 0.000 0.476 0.250
```

DFT (PBE) results for a relaxed structure of Ti3FeHg.

For the formation energy, the calculation gives 1744 meV/atom.

Geometry as CIF:
```
data_Ti3FeHg
_symmetry_space_group_name_H-M 'P m -3 m'
_symmetry_Int_Tables_number 221
_symmetry_space_group_name_Hall '-P 4 2 3'
_cell_length_a 4.914
_cell_length_b 4.914
_cell_length_c 4.914
_cell_angle_alpha 90.00
_cell_angle_beta 90.00
_cell_angle_gamma 90.00
loop_
_atom_site_label
_atom_site_type_symbol
_atom_site_fract_x
_atom_site_fract_y
_atom_site_fract_z
Ti1 Ti 0.000 0.000 0.500
Fe1 Fe 0.500 0.500 0.500
Hg1 Hg 0.000 0.000 0.000
```